# 1
DFT (PBE-GGA) results for a relaxed structure of Rb2BaBeI6.

Summary:
Magnetization   0.00 μB per cell
Total DFT energy (no corrections)   -2.8039 eV/atom

abc: 8.611 8.611 8.611
angles: 119.96 119.96 90.07
Element x y z (fractional)
1 Rb 0.250 0.750 0.500
2 Rb 0.750 0.250 0.500
3 Ba 0.000 0.000 0.000
4 Be 0.500 0.500 0.000
5 I 0.276 0.276 0.000
6 I 0.276 0.276 0.552
7 I 0.276 0.724 0.000
8 I 0.724 0.276 0.000
9 I 0.724 0.724 0.000
10 I 0.724 0.724 0.448

***

# 2
DFT (PBE-GGA) results for a relaxed structure of K5Na12Zn3.

Summary:
Magnetization   0.00 μB per cell
Formation energy   0.23 eV/atom

abc: 17.360 17.360 17.360
angles: 109.47 109.47 109.47
Element x y z (fractional)
1 K 0.000 0.000 0.000
2 K 0.000 0.000 0.500
3 K 0.000 0.500 0.000
4 K 0.000 0.500 0.500
5 K 0.125 0.750 0.875
6 K 0.125 0.875 0.250
7 K 0.250 0.125 0.875
8 K 0.250 0.625 0.375
9 K 0.375 0.250 0.625
10 K 0.375 0.625 0.750
11 K 0.500 0.000 0.000
12 K 0.500 0.000 0.500
13 K 0.500 0.500 0.000
14 K 0.500 0.500 0.500
15 K 0.625 0.375 0.250
16 K 0.625 0.750 0.375
17 K 0.750 0.375 0.625
18 K 0.750 0.875 0.125
19 K 0.875 0.125 0.750
20 K 0.875 0.250 0.125
21 Na 0.041 0.639 0.387
22 Na 0.041 0.902 0.655
23 Na 0.098 0.253 0.139
24 Na 0.098 0.345 0.959
25 Na 0.113 0.753 0.655
26 Na 0.113 0.861 0.459
27 Na 0.139 0.098 0.253
28 Na 0.139 0.541 0.887
29 Na 0.155 0.253 0.613
30 Na 0.155 0.402 0.541
31 Na 0.247 0.345 0.887
32 Na 0.247 0.402 0.361
33 Na 0.253 0.139 0.098
34 Na 0.253 0.613 0.155
35 Na 0.345 0.887 0.247
36 Na 0.345 0.959 0.098
37 Na 0.361 0.247 0.402
38 Na 0.361 0.613 0.959
39 Na 0.387 0.041 0.639
40 Na 0.387 0.845 0.747
41 Na 0.402 0.361 0.247
42 Na 0.402 0.541 0.155
43 Na 0.459 0.113 0.861
44 Na 0.459 0.845 0.598
45 Na 0.541 0.155 0.402
46 Na 0.541 0.887 0.139
47 Na 0.598 0.459 0.845
48 Na 0.598 0.639 0.753
49 Na 0.613 0.155 0.253
50 Na 0.613 0.959 0.361
51 Na 0.639 0.387 0.041
52 Na 0.639 0.753 0.598
53 Na 0.655 0.041 0.902
54 Na 0.655 0.113 0.753
55 Na 0.747 0.387 0.845
56 Na 0.747 0.861 0.902
57 Na 0.753 0.598 0.639
58 Na 0.753 0.655 0.113
59 Na 0.845 0.598 0.459
60 Na 0.845 0.747 0.387
61 Na 0.861 0.459 0.113
62 Na 0.861 0.902 0.747
63 Na 0.887 0.139 0.541
64 Na 0.887 0.247 0.345
65 Na 0.902 0.655 0.041
66 Na 0.902 0.747 0.861
67 Na 0.959 0.098 0.345
68 Na 0.959 0.361 0.613
69 Zn 0.125 0.250 0.375
70 Zn 0.125 0.375 0.750
71 Zn 0.250 0.375 0.125
72 Zn 0.250 0.875 0.625
73 Zn 0.375 0.125 0.250
74 Zn 0.375 0.750 0.125
75 Zn 0.625 0.250 0.875
76 Zn 0.625 0.875 0.750
77 Zn 0.750 0.125 0.375
78 Zn 0.750 0.625 0.875
79 Zn 0.875 0.625 0.250
80 Zn 0.875 0.750 0.625

***

Number 1: density of states at the Fermi level 0.000 states/eV per cell, mass density 3.96 g/cm³. Number 2: density of states at the Fermi level 43.284 states/eV per cell, mass density 1.10 g/cm³.